Material: Er6Cd2Os
Method: DFT, PBE
State: optimized geometry

Structure (POSCAR):
```
Er6Cd2Os
1.0
6.002 0.000 0.000
0.000 8.682 0.000
-5.247 0.000 9.503
Er Cd Os
12 4 2
direct
0.054 0.188 0.454
0.054 0.312 0.954
0.343 0.669 0.444
0.343 0.831 0.944
0.369 0.030 0.267
0.369 0.470 0.767
0.631 0.530 0.233
0.631 0.970 0.733
0.657 0.169 0.056
0.657 0.331 0.556
0.946 0.688 0.046
0.946 0.812 0.546
0.151 0.116 0.753
0.151 0.384 0.253
0.849 0.616 0.747
0.849 0.884 0.247
0.000 0.000 0.000
0.000 0.500 0.500
```

Output
* N(E_F): 1.074 states/eV per atom
* formation enthalpy at 0 K: -1.4 eV per formula unit
* uncorrected energy: -4.65 eV/atom
* space-group type: P2_1/c

Material: CuTc2Os
Method: DFT, PBE
State: optimized geometry

Structure (POSCAR):
```
CuTc2Os
1.0
3.076 0.000 0.000
0.000 3.076 0.000
0.000 0.000 5.893
Cu Tc Os
1 2 1
direct
0.000 0.000 0.000
0.000 0.000 0.513
0.500 0.500 0.765
0.500 0.500 0.231
```

Output
* N(E_F): 0.861 states/eV per atom
* formation enthalpy at 0 K: 1.4 eV per formula unit
* uncorrected energy: -8.67 eV/atom
* space-group type: P4mm

Material: KAl2SbO6
Method: DFT, PBE
State: optimized geometry

Structure (POSCAR):
```
KAl2SbO6
1.0
4.894 -4.989 0.000
4.894 4.989 0.000
-1.718 0.000 5.918
K Al Sb O
2 4 2 12
direct
0.097 0.903 0.750
0.903 0.097 0.250
0.233 0.382 0.873
0.382 0.233 0.373
0.618 0.767 0.627
0.767 0.618 0.127
0.283 0.717 0.250
0.717 0.283 0.750
0.002 0.718 0.262
0.270 0.640 0.931
0.276 0.385 0.181
0.282 0.998 0.238
0.360 0.730 0.569
0.385 0.276 0.681
0.615 0.724 0.319
0.640 0.270 0.431
0.718 0.002 0.762
0.724 0.615 0.819
0.730 0.360 0.069
0.998 0.282 0.738
```

Output
* N(E_F): 0.000 states/eV per atom
* uncorrected energy: -6.44 eV/atom
* space-group type: C2/c

Material: TiSbAu
Method: DFT, PBE
State: optimized geometry

Structure (POSCAR):
```
TiSbAu
1.0
-1.897 1.897 4.194
1.897 -1.897 4.194
1.897 1.897 -4.194
Ti Sb Au
1 1 1
direct
0.000 0.000 0.000
0.344 0.344 0.000
0.673 0.673 0.000
```

Output
* N(E_F): 0.577 states/eV per atom
* uncorrected energy: -5.24 eV/atom
* space-group type: I4mm

Material: HfTcH2
Method: DFT, PBE
State: optimized geometry

Structure (POSCAR):
```
HfTcH2
1.0
0.000 2.734 2.734
2.734 0.000 2.734
2.734 2.734 0.000
Hf Tc H
1 1 2
direct
0.000 0.000 0.000
0.500 0.500 0.500
0.250 0.250 0.250
0.750 0.750 0.750
```

Output
* N(E_F): 0.621 states/eV per atom
* uncorrected energy: -6.47 eV/atom
* space-group type: Fm-3m

Material: Pr2MgSn8
Method: DFT, PBE
State: optimized geometry

Structure (POSCAR):
```
Pr2MgSn8
1.0
4.686 0.000 0.000
0.000 4.686 0.000
0.000 0.000 13.953
Pr Mg Sn
2 1 8
direct
0.000 0.000 0.169
0.000 0.000 0.831
0.000 0.000 0.500
0.000 0.500 0.000
0.000 0.500 0.358
0.000 0.500 0.642
0.500 0.000 0.000
0.500 0.000 0.358
0.500 0.000 0.642
0.500 0.500 0.187
0.500 0.500 0.813
```

Output
* N(E_F): 0.612 states/eV per atom
* formation enthalpy at 0 K: -3.9 eV per formula unit
* uncorrected energy: -4.28 eV/atom
* space-group type: P4/mmm

Material: CsLi2HgPd
Method: DFT, PBE
State: optimized geometry

Structure (POSCAR):
```
CsLi2HgPd
1.0
5.148 0.000 0.000
0.000 5.148 0.000
0.000 0.000 5.485
Cs Li Hg Pd
1 2 1 1
direct
0.000 0.000 0.000
0.000 0.500 0.500
0.500 0.000 0.500
0.500 0.500 0.000
0.500 0.500 0.500
```

Output
* N(E_F): 0.390 states/eV per atom
* formation enthalpy at 0 K: -0.7 eV per formula unit
* uncorrected energy: -2.18 eV/atom
* space-group type: P4/mmm

Material: CdW2Cl
Method: DFT, PBE
State: optimized geometry

Structure (POSCAR):
```
CdW2Cl
1.0
-2.294 2.294 3.371
2.294 -2.294 3.371
2.294 2.294 -3.371
Cd W Cl
1 2 1
direct
0.000 0.000 0.000
0.500 0.500 0.000
0.750 0.250 0.500
0.250 0.750 0.500
```

Output
* N(E_F): 0.502 states/eV per atom
* uncorrected energy: -6.02 eV/atom
* space-group type: I-4m2